Al2Cl | PBE | relaxed

Properties
For the formation energy from raw total energies, the calculation gives -0.228 eV/atom. For the density of states at the Fermi level, the calculation gives 0.28 states/eV/atom. For the calculated total energy, the calculation gives -3.3385 eV/atom. For the magnetization, the calculation gives 0.000 μB/f.u. For the energy above the most stable polymorph in this dataset, the calculation gives 221 meV per atom.

Lattice parameters (Å, degrees): 5.701 5.701 8.202 65.13 65.13 30.84
Sites, in units of the cell vectors:
1 Al 0.195 0.195 0.662
2 Al 0.640 0.640 0.987
3 Al 0.360 0.360 0.013
4 Al 0.805 0.805 0.338
5 Cl 0.028 0.028 0.289
6 Cl 0.972 0.972 0.711